This record from Alexandria via LeMat-Bulk describes a geometry-optimized Dy2Al structure. The functional is PBE.

Cell lengths 3.4387, 3.4387, 7.1465 Å; angles 103.92, 103.92, 90.00 degrees
Fractional positions:
Al (0.0000, 0.0000, 0.0000)
Dy (0.6487, 0.6487, 0.2973)
Dy (0.3513, 0.3513, 0.7027)

Properties
* SG: No. 139
* ρ: 7.4 g/cm³
* DFT formation energy: -0.252 eV/atom
* D(E_F): 1.916 states/eV/f.u.
* total energy: -4.57 eV/atom